The following is a PBE-GGA calculation of crystalline Na2AgTe5 at its relaxed geometry, from Alexandria via LeMat-Bulk.

Summary:
Raw total energy in eV per cell: -46.12
Formation energy from raw total energies in meV/atom: -232.6
V in Å³ per cell: 525.57

abc: 12.626 6.588 8.783
angles: 90.00 134.00 90.00
Space group Cm (No. 8)
Symmetry-distinct sites (fractional):
Na 0.000 0.000 0.000 (multiplicity 2)
Na 0.002 0.000 0.526 (multiplicity 2)
Ag 0.000 0.500 0.729 (multiplicity 2)
Te 0.000 0.500 0.386 (multiplicity 2)
Te 0.242 0.241 0.492 (multiplicity 4)
Te 0.258 0.259 0.008 (multiplicity 4)

The following is a PBE-GGA calculation of crystalline NaAg2Te at its relaxed geometry, from Alexandria via LeMat-Bulk.

Summary:
Raw total energy in eV per cell: -41.98
Formation energy from raw total energies in meV/atom: -83.3
V in Å³ per cell: 391.49

abc: 4.371 4.371 20.486
angles: 90.00 90.00 90.00
Space group I-42d (No. 122)
Symmetry-distinct sites (fractional):
Na 0.000 0.000 0.000 (multiplicity 4)
Ag 0.225 0.250 0.625 (multiplicity 8)
Te 0.000 0.000 0.500 (multiplicity 4)

The following is a PBE-GGA calculation of crystalline NaAgTe at its relaxed geometry, from Alexandria via LeMat-Bulk.

Summary:
Raw total energy in eV per cell: -16.54
Formation energy from raw total energies in meV/atom: -320.0
V in Å³ per cell: 152.55

abc: 4.194 4.194 8.673
angles: 90.00 90.00 90.00
Space group I4mm (No. 107)
Symmetry-distinct sites (fractional):
Na 0.000 0.000 0.000 (multiplicity 2)
Ag 0.000 0.000 0.330 (multiplicity 2)
Te 0.000 0.000 0.657 (multiplicity 2)

The following is a PBE-GGA calculation of crystalline NaAgTe at its relaxed geometry, from Alexandria via LeMat-Bulk.

Summary:
Raw total energy in eV per cell: -35.81
Formation energy from raw total energies in meV/atom: -547.1
V in Å³ per cell: 309.03

abc: 7.861 4.630 8.492
angles: 90.00 90.00 90.00
Space group Pnma (No. 62)
Symmetry-distinct sites (fractional):
Na 0.027 0.250 0.183 (multiplicity 4)
Ag 0.126 0.250 0.558 (multiplicity 4)
Te 0.242 0.750 0.380 (multiplicity 4)